VASP calculation (PBE+U) on SmPaVO6 after structural relaxation.

Unit cell a=5.450 b=5.450 c=4.804 alpha=90.00 beta=90.00 gamma=120.00
Fractional coordinates of all 9 atoms:
Sm 0.000 0.000 0.000
Pa 0.667 0.333 0.500
V 0.333 0.667 0.000
O 0.020 0.380 0.236
O 0.020 0.640 0.764
O 0.360 0.380 0.764
O 0.360 0.980 0.236
O 0.620 0.640 0.236
O 0.620 0.980 0.764

Calculated volume (Å³/atom): 13.73
DFT total energy (hartree per atom): -0.3158